PrYNi2 | PBE | optimized geometry

The structure in extended XYZ format:
```
4
Lattice="3.831 0.000 -0.024 0.000 4.274 0.000 -1.880 0.000 5.230" Properties=species:S:1:pos:R:3 pbc="T T T"
Y 0.918 0.000 5.093
Ni -1.004 2.137 4.442
Ni -1.011 0.000 2.973
Pr 0.899 2.137 2.199
```

Values from the calculation:
Energy   -6.058 eV/atom
Calculated density   6.747 g/cm3
Volume   21.36 Å³/atom
Energy relative to the elements   -138 kJ/mol of formula units

=====

ZrFeP3 | PBE | optimized geometry

The structure in extended XYZ format:
```
5
Lattice="-1.288 -0.806 4.131 -2.715 -3.142 -1.459 3.216 -2.975 0.422" Properties=species:S:1:pos:R:3 pbc="T T T"
P -1.357 -1.571 -0.730
Fe 0.000 0.000 0.000
P 1.608 -1.487 0.211
Zr -0.393 -3.461 1.547
P -0.644 -0.403 2.065
```

Values from the calculation:
Energy   -6.458 eV/atom
Calculated density   4.674 g/cm3
Volume   17.05 Å³/atom
Energy relative to the elements   92 kJ/mol of formula units

=====

PmMgTlHg | PBE | optimized geometry

The structure in extended XYZ format:
```
4
Lattice="5.245 0.000 0.000 2.622 4.542 0.000 2.622 1.514 4.282" Properties=species:S:1:pos:R:3 pbc="T T T"
Mg 5.245 3.028 2.141
Hg 2.622 1.514 1.071
Pm 0.000 0.000 0.000
Tl 7.867 4.542 3.212
```

Values from the calculation:
Energy   -2.630 eV/atom
Calculated density   9.348 g/cm3
Volume   25.50 Å³/atom
Energy relative to the elements   -145 kJ/mol of formula units

=====

Pm2PrNdDy4 | PBE | optimized geometry

The structure in extended XYZ format:
```
16
Lattice="10.718 -0.350 -4.537 0.240 7.240 0.005 -8.394 -3.356 10.308" Properties=species:S:1:pos:R:3 pbc="T T T"
Dy -6.058 -1.619 8.214
Dy 3.500 -0.116 0.790
Pr 6.641 1.592 0.619
Dy -1.055 0.029 4.982
Pm 5.479 3.445 -2.266
Pm -4.197 -1.678 5.154
Dy 8.502 1.533 -2.441
Pm 5.359 -0.175 -2.269
Dy -5.938 2.001 8.216
Pr 0.120 3.620 0.003
Dy 3.620 3.505 0.794
Nd 2.324 -3.706 5.770
Dy 8.622 5.153 -2.438
Pm 1.162 -1.853 2.885
Nd 1.282 1.767 2.888
Dy -0.936 3.650 4.985
```

Values from the calculation:
Energy   -4.682 eV/atom
Calculated density   7.694 g/cm3
Volume   33.05 Å³/atom
Energy relative to the elements   0 kJ/mol of formula units

=====

> Among the records above, which one has the lowest calculated density?

ZrFeP3